(1)
HfCoOs3: relaxed, PBE.

Computed properties:
- E above lowest polymorph (meV/atom) = 1642
- total DFT energy (no corrections) (eV per atom) = -7.381
- ΔH_f (0 K) (eV/atom) = 2.7689

Unit cell a=4.7282 b=4.7282 c=4.7282 alpha=90.00 beta=90.00 gamma=90.00
With the nearest neighbours (Å) after each atom.
Sites, in units of the cell vectors:
Os 0.0000 0.5000 0.0000  2 Hf 2.36
Os 0.0000 0.0000 0.5000  2 Hf 2.36
Os 0.5000 0.0000 0.0000  2 Hf 2.36
Hf 0.0000 0.0000 0.0000  6 Os 2.36
Co 0.5000 0.5000 0.5000  12 Os 3.34



(2)
Hf3Co2Os: relaxed, PBE.

Computed properties:
- total DFT energy (no corrections) (eV per atom) = -9.707
- ΔH_f (0 K) (eV/atom) = -0.4900

Unit cell a=3.1980 b=3.1980 c=9.5650 alpha=90.00 beta=90.00 gamma=90.00
With the nearest neighbours (Å) after each atom.
Sites, in units of the cell vectors:
Hf 0.0000 0.0000 0.3273  4 Co 2.75, 4 Os 2.80
Hf 0.0000 0.0000 0.6727  4 Co 2.75, 4 Os 2.80
Hf 0.0000 0.0000 0.0000  8 Co 2.75
Co 0.5000 0.5000 0.1633  8 Hf 2.75
Co 0.5000 0.5000 0.8367  8 Hf 2.75
Os 0.5000 0.5000 0.5000  8 Hf 2.80